[1]
# SbPbCl5

SbPbCl5 after structural relaxation (PBE, the Alexandria database). Values from VASP.

```
&SYSTEM
  ibrav = 0, nat = 28, ntyp = 3
/
ATOMIC_SPECIES
Cl 35.45 Cl.upf
Sb 121.76 Sb.upf
Pb 207.20 Pb.upf
CELL_PARAMETERS angstrom
6.905 -0.655 0.000
-4.037 10.681 0.000
0.000 0.000 13.462
ATOMIC_POSITIONS angstrom
Cl 4.553 -0.204 12.093
Cl 1.428 1.763 11.942
Cl 3.412 0.973 5.223
Cl -0.545 9.052 8.240
Cl -0.918 5.464 8.100
Cl 0.005 3.250 5.211
Cl -1.686 10.230 1.369
Cl 2.295 3.335 2.077
Cl 3.786 4.562 5.362
Cl 4.926 3.385 11.954
Cl 2.862 6.776 8.252
Cl 1.439 8.263 1.520
Cl 2.651 2.759 8.373
Cl 0.572 6.691 11.386
Cl -2.820 8.427 11.821
Cl -2.059 6.641 1.508
Cl 6.043 1.023 8.808
Cl 5.688 1.599 1.642
Cl 0.217 7.267 5.089
Cl -3.176 9.003 4.655
Sb -1.721 7.458 6.730
Sb 4.588 2.568 6.733
Sb 3.750 1.790 0.002
Sb -0.883 8.236 13.461
Pb 1.969 8.593 10.023
Pb 2.332 6.445 3.291
Pb 0.899 1.432 3.440
Pb 0.535 3.581 10.171
```

Computed properties:
Theoretical density   3.513 Mg/m³
SG   No. 14
Formation energy without anion corrections   -6.5 eV/f.u.

=====

[2]
# La4Ni2N

La4Ni2N after structural relaxation (PBE, the Alexandria database). Values from VASP.

```
&SYSTEM
  ibrav = 0, nat = 7, ntyp = 3
/
ATOMIC_SPECIES
La 138.91 La.upf
Ni 58.69 Ni.upf
N 14.01 N.upf
CELL_PARAMETERS angstrom
-2.401 3.129 -3.128
2.431 -2.041 -3.907
-5.056 -4.085 -4.255
ATOMIC_POSITIONS angstrom
La -1.890 -0.665 -7.315
La 1.215 -1.021 -1.954
La -3.136 -2.332 -3.976
La -1.201 1.565 -1.564
Ni -1.231 -0.593 -3.699
Ni -3.796 -2.404 -7.592
N 0.000 0.000 0.000
```

Computed properties:
Theoretical density   6.519 Mg/m³
SG   No. 139
Formation energy without anion corrections   -3.3 eV/f.u.

=====

[3]
# ZrTaV3

ZrTaV3 after structural relaxation (PBE, the Alexandria database). Values from VASP.

```
&SYSTEM
  ibrav = 0, nat = 5, ntyp = 3
/
ATOMIC_SPECIES
V 50.94 V.upf
Zr 91.22 Zr.upf
Ta 180.95 Ta.upf
CELL_PARAMETERS angstrom
4.613 0.000 0.000
0.000 4.613 0.000
0.000 0.000 4.613
ATOMIC_POSITIONS angstrom
V 0.000 0.000 2.307
V 2.307 0.000 0.000
V 0.000 2.307 0.000
Zr 2.307 2.307 2.307
Ta 0.000 0.000 0.000
```

Computed properties:
Theoretical density   7.188 Mg/m³
SG   No. 221
Final energy   -0.309 hartree per atom

=====

[4]
# TbSn2Pt9

TbSn2Pt9 after structural relaxation (PBE, the Alexandria database). Values from VASP.

```
&SYSTEM
  ibrav = 0, nat = 12, ntyp = 3
/
ATOMIC_SPECIES
Pt 195.08 Pt.upf
Tb 158.93 Tb.upf
Sn 118.71 Sn.upf
CELL_PARAMETERS angstrom
-3.764 -1.467 -0.605
1.575 -3.263 -1.885
0.581 -5.903 10.702
ATOMIC_POSITIONS angstrom
Pt -1.783 -1.744 1.530
Pt -1.095 -2.365 -1.245
Pt 0.887 -2.642 0.889
Pt 1.269 -6.524 7.927
Pt 1.078 -4.583 4.408
Pt -0.710 -6.279 5.850
Pt -1.401 -5.626 8.568
Pt -1.592 -3.685 5.049
Pt -0.899 -4.354 2.362
Tb 0.000 0.000 0.000
Sn 0.387 -3.936 7.135
Sn 0.194 -1.968 3.567
```

Computed properties:
Theoretical density   17.506 Mg/m³
SG   No. 123
Final energy   -0.227 hartree per atom

=====

We obtain DOS at the Fermi energy values of 0.0 9.4 4.8 7.3 states/eV/cell for the records listed above, in that order.